1.
## Rb2Be2O3 (meta-GGA SCAN)

Data for a crystal of Rb2Be2O3 relaxed with PBEsol.

Summary:
Calculated total energy = -12.149 eV/atom
Formation energy from raw total energies = -16.16 eV per formula unit
Offset from the most stable computed form = 0 meV per atom

Unit cell a=10.595 b=5.354 c=7.676 alpha=90.00 beta=90.00 gamma=90.00
Space group Pnma (No. 62)
Symmetry-distinct sites (fractional):
Rb  0.086  0.250  0.128 (multiplicity 4)
Rb  0.112  0.750  0.489 (multiplicity 4)
Be  0.163  0.250  0.719 (multiplicity 4)
Be  0.208  0.750  0.890 (multiplicity 4)
O  0.153  0.501  0.819 (multiplicity 8)
O  0.179  0.250  0.518 (multiplicity 4)

***

2.
## Rb3BeO (meta-GGA SCAN)

Data for a crystal of Rb3BeO relaxed with PBEsol.

Summary:
Calculated total energy = -13.849 eV/atom
Formation energy from raw total energies = 3.56 eV per formula unit

Unit cell a=6.100 b=6.100 c=6.100 alpha=90.00 beta=90.00 gamma=90.00
Space group Pm-3m (No. 221)
Symmetry-distinct sites (fractional):
Rb  0.000  0.000  0.500 (multiplicity 3)
Be  0.000  0.000  0.000 (multiplicity 1)
O  0.500  0.500  0.500 (multiplicity 1)

***

3.
## Rb2Be2O3 (meta-GGA SCAN)

Data for a crystal of Rb2Be2O3 relaxed with PBEsol.

Summary:
Calculated total energy = -12.132 eV/atom
Formation energy from raw total energies = -16.04 eV per formula unit
Offset from the most stable computed form = 17 meV per atom

Unit cell a=7.377 b=7.377 c=7.389 alpha=90.00 beta=90.00 gamma=90.00
Space group P4_32_12 (No. 96)
Symmetry-distinct sites (fractional):
Rb  0.001  0.248  0.378 (multiplicity 8)
Be  0.027  0.277  0.901 (multiplicity 8)
O  0.110  0.110  0.000 (multiplicity 4)
O  0.125  0.359  0.733 (multiplicity 8)

***

4.
## Be3ReO (meta-GGA SCAN)

Data for a crystal of Be3ReO relaxed with PBEsol.

Summary:
Calculated total energy = -16.329 eV/atom
Formation energy from raw total energies = 8.75 eV per formula unit

Unit cell a=4.211 b=4.211 c=4.211 alpha=90.00 beta=90.00 gamma=90.00
Space group Pm-3m (No. 221)
Symmetry-distinct sites (fractional):
Be  0.000  0.000  0.500 (multiplicity 3)
Re  0.000  0.000  0.000 (multiplicity 1)
O  0.500  0.500  0.500 (multiplicity 1)

***

5.
## BeRhO2 (meta-GGA SCAN)

Data for a crystal of BeRhO2 relaxed with PBEsol.

Summary:
Calculated total energy = -13.773 eV/atom
Formation energy from raw total energies = -4.50 eV per formula unit

Unit cell a=3.3767 b=3.3767 c=13.7863 alpha=90.00 beta=90.00 gamma=120.00
Space group R-3m (No. 166, hexagonal axes)
Symmetry-distinct sites (fractional):
Be  0.0000  0.0000  0.0000 (multiplicity 3)
Rh  0.0000  0.0000  0.5000 (multiplicity 3)
O  0.0000  0.0000  0.1072 (multiplicity 6)

***

6.
## BeRh3O (meta-GGA SCAN)

Data for a crystal of BeRh3O relaxed with PBEsol.

Summary:
Calculated total energy = -22.232 eV/atom
Formation energy from raw total energies = 0.74 eV per formula unit

Unit cell a=3.965 b=3.965 c=3.965 alpha=90.00 beta=90.00 gamma=90.00
Space group Pm-3m (No. 221)
Symmetry-distinct sites (fractional):
Be  0.000  0.000  0.000 (multiplicity 1)
Rh  0.000  0.500  0.500 (multiplicity 3)
O  0.500  0.500  0.500 (multiplicity 1)

***

7.
## Be3RhO (meta-GGA SCAN)

Data for a crystal of Be3RhO relaxed with PBEsol.

Summary:
Calculated total energy = -9.893 eV/atom
Formation energy from raw total energies = 3.60 eV per formula unit

Unit cell a=4.073 b=4.073 c=4.073 alpha=90.00 beta=90.00 gamma=90.00
Space group Pm-3m (No. 221)
Symmetry-distinct sites (fractional):
Be  0.000  0.000  0.500 (multiplicity 3)
Rh  0.000  0.000  0.000 (multiplicity 1)
O  0.500  0.500  0.500 (multiplicity 1)

***

8.
## BeRu3O (meta-GGA SCAN)

Data for a crystal of BeRu3O relaxed with PBEsol.

Summary:
Calculated total energy = -22.716 eV/atom
Formation energy from raw total energies = 1.48 eV per formula unit

Unit cell a=3.927 b=3.927 c=3.927 alpha=90.00 beta=90.00 gamma=90.00
Space group Pm-3m (No. 221)
Symmetry-distinct sites (fractional):
Be  0.000  0.000  0.000 (multiplicity 1)
Ru  0.000  0.500  0.500 (multiplicity 3)
O  0.500  0.500  0.500 (multiplicity 1)

***

9.
## BeTeRu2O (meta-GGA SCAN)

Data for a crystal of BeTeRu2O relaxed with PBEsol.

Summary:
Calculated total energy = -22.845 eV/atom
Formation energy from raw total energies = 3.26 eV per formula unit

Unit cell a=4.001 b=4.001 c=4.457 alpha=90.00 beta=90.00 gamma=90.00
Space group P4/mmm (No. 123)
Symmetry-distinct sites (fractional):
Be  0.000  0.000  0.000 (multiplicity 1)
Te  0.500  0.500  0.000 (multiplicity 1)
Ru  0.000  0.500  0.500 (multiplicity 2)
O  0.500  0.500  0.500 (multiplicity 1)

***

10.
## BeS2O (meta-GGA SCAN)

Data for a crystal of BeS2O relaxed with PBEsol.

Summary:
Calculated total energy = -6.594 eV/atom
Formation energy from raw total energies = 3.47 eV per formula unit

Unit cell a=5.590 b=5.590 c=5.590 alpha=90.00 beta=90.00 gamma=90.00
Space group Fm-3m (No. 225)
Symmetry-distinct sites (fractional):
Be  0.000  0.000  0.000 (multiplicity 4)
S  0.250  0.250  0.250 (multiplicity 8)
O  0.000  0.000  0.500 (multiplicity 4)

***

11.
## BeSO2 (meta-GGA SCAN)

Data for a crystal of BeSO2 relaxed with PBEsol.

Summary:
Calculated total energy = -6.042 eV/atom
Formation energy from raw total energies = 2.27 eV per formula unit
Offset from the most stable computed form = 1372 meV per atom

Unit cell a=5.225 b=5.225 c=5.225 alpha=90.00 beta=90.00 gamma=90.00
Space group Fm-3m (No. 225)
Symmetry-distinct sites (fractional):
Be  0.000  0.000  0.000 (multiplicity 4)
S  0.000  0.000  0.500 (multiplicity 4)
O  0.250  0.250  0.250 (multiplicity 8)

***

12.
## BeSO2 (meta-GGA SCAN)

Data for a crystal of BeSO2 relaxed with PBEsol.

Summary:
Calculated total energy = -7.415 eV/atom
Formation energy from raw total energies = -3.21 eV per formula unit
Offset from the most stable computed form = 0 meV per atom

Unit cell a=4.559 b=4.559 c=7.423 alpha=90.00 beta=90.00 gamma=90.00
Space group I-42d (No. 122)
Symmetry-distinct sites (fractional):
Be  0.000  0.000  0.000 (multiplicity 4)
S  0.000  0.000  0.500 (multiplicity 4)
O  0.149  0.750  0.125 (multiplicity 8)